Fe3Tc: relaxed, PBE. Values from VASP.

Calculated values
**V**: 12.20 Å³ per atom
**Total DFT energy (no corrections)**: -8.744 eV/atom
**Formation energy from the elements**: 0.31 eV per formula unit

Structure (Quantum ESPRESSO input):
```
&SYSTEM
  ibrav = 0, nat = 4, ntyp = 2
/
ATOMIC_SPECIES
Fe 55.84 Fe.upf
Tc 98.00 Tc.upf
CELL_PARAMETERS angstrom
1.965 -3.430 1.095
0.189 -1.083 3.952
-2.125 -3.242 1.342
ATOMIC_POSITIONS angstrom
Fe 0.000 0.000 0.000
Fe 0.007 -1.939 1.597
Fe 0.014 -3.877 3.195
Tc 0.022 -5.816 4.792
```